[1]
A geometry-optimized Er6Te2C3 structure, computed with PBE.

Output
Its space-group type is C2/m. The calculated volume is 251 Å³/f.u. As for the formation energy without anion corrections: -0.7449 eV/atom.

```
Er6Te2C3
1.0
3.198 -5.545 0.000
3.198 5.545 0.000
-2.150 0.000 7.067
Er Te C
6 2 3
Direct
0.058 0.394 0.183 Er
0.270 0.270 0.822 Er
0.394 0.058 0.183 Er
0.606 0.942 0.817 Er
0.730 0.730 0.178 Er
0.942 0.606 0.817 Er
0.166 0.834 0.500 Te
0.834 0.166 0.500 Te
0.000 0.000 0.000 C
0.330 0.670 0.000 C
0.670 0.330 0.000 C
```

[2]
A geometry-optimized Er5Te5C structure, computed with PBE.

Output
Its space-group type is C2/m. The calculated volume is 312 Å³/f.u. As for the formation energy without anion corrections: -1.1304 eV/atom.

```
Er5Te5C
1.0
6.635 -2.982 0.000
6.635 2.982 0.000
-2.757 0.000 7.878
Er Te C
5 5 1
Direct
0.000 0.000 0.000 Er
0.357 0.357 0.138 Er
0.361 0.361 0.717 Er
0.639 0.639 0.283 Er
0.643 0.643 0.862 Er
0.159 0.159 0.813 Te
0.180 0.180 0.334 Te
0.500 0.500 0.500 Te
0.820 0.820 0.666 Te
0.841 0.841 0.187 Te
0.500 0.500 0.000 C
```

[3]
A geometry-optimized Er6Te2C structure, computed with PBE.

Output
Its space-group type is P2_1/c. The calculated volume is 233 Å³/f.u. As for the formation energy without anion corrections: -0.6346 eV/atom.

```
Er6Te2C
1.0
6.399 0.000 0.000
0.000 7.466 0.000
-5.890 0.000 9.742
Er Te C
12 4 2
Direct
0.123 0.019 0.245 Er
0.123 0.481 0.745 Er
0.182 0.704 0.042 Er
0.182 0.796 0.542 Er
0.362 0.173 0.035 Er
0.362 0.327 0.535 Er
0.638 0.673 0.465 Er
0.638 0.827 0.965 Er
0.818 0.204 0.458 Er
0.818 0.296 0.958 Er
0.877 0.519 0.255 Er
0.877 0.981 0.755 Er
0.333 0.111 0.752 Te
0.333 0.389 0.252 Te
0.667 0.611 0.748 Te
0.667 0.889 0.248 Te
0.000 0.000 0.000 C
0.000 0.500 0.500 C
```

[4]
A geometry-optimized Er4TeC structure, computed with PBE.

Output
Its space-group type is C2/c. The calculated volume is 154 Å³/f.u. As for the formation energy without anion corrections: -0.5127 eV/atom. The excess energy over the best structure of this formula in the dataset comes out at 0 meV per atom.

```
Er4TeC
1.0
4.128 -7.020 0.000
4.128 7.020 0.000
-3.370 0.000 5.306
Er Te C
8 2 2
Direct
0.053 0.650 0.830 Er
0.154 0.259 0.698 Er
0.259 0.154 0.198 Er
0.350 0.947 0.670 Er
0.650 0.053 0.330 Er
0.741 0.846 0.802 Er
0.846 0.741 0.302 Er
0.947 0.350 0.170 Er
0.398 0.602 0.250 Te
0.602 0.398 0.750 Te
0.064 0.936 0.750 C
0.936 0.064 0.250 C
```

[5]
A geometry-optimized Er4TeC structure, computed with PBE.

Output
Its space-group type is C2/c. The calculated volume is 157 Å³/f.u. As for the formation energy without anion corrections: -0.4753 eV/atom. The excess energy over the best structure of this formula in the dataset comes out at 37 meV per atom.

```
Er4TeC
1.0
4.692 -7.039 0.000
4.692 7.039 0.000
-3.811 0.000 4.743
Er Te C
8 2 2
Direct
0.057 0.669 0.884 Er
0.153 0.249 0.643 Er
0.249 0.153 0.143 Er
0.331 0.943 0.616 Er
0.669 0.057 0.384 Er
0.751 0.847 0.857 Er
0.847 0.751 0.357 Er
0.943 0.331 0.116 Er
0.381 0.619 0.250 Te
0.619 0.381 0.750 Te
0.074 0.926 0.250 C
0.926 0.074 0.750 C
```

[6]
A geometry-optimized Er3Te3C structure, computed with PBE.

Output
Its space-group type is C2/m. The calculated volume is 193 Å³/f.u. As for the formation energy without anion corrections: -0.9148 eV/atom.

```
Er3Te3C
1.0
4.222 -6.200 0.000
4.222 6.200 0.000
-1.780 0.000 7.365
Er Te C
6 6 2
Direct
0.094 0.094 0.331 Er
0.154 0.441 0.781 Er
0.441 0.154 0.781 Er
0.559 0.846 0.219 Er
0.846 0.559 0.219 Er
0.906 0.906 0.669 Er
0.167 0.833 0.000 Te
0.261 0.739 0.500 Te
0.389 0.389 0.154 Te
0.611 0.611 0.846 Te
0.739 0.261 0.500 Te
0.833 0.167 0.000 Te
0.169 0.169 0.642 C
0.831 0.831 0.358 C
```

[7]
A geometry-optimized ErTeC structure, computed with PBE.

Output
Its space-group type is Immm. The calculated volume is 74 Å³/f.u. As for the formation energy without anion corrections: -0.5412 eV/atom.

```
ErTeC
1.0
-2.117 2.178 8.014
2.117 -2.178 8.014
2.117 2.178 -8.014
Er Te C
2 2 2
Direct
0.121 0.121 0.000 Er
0.879 0.879 0.000 Er
0.322 0.322 0.000 Te
0.678 0.678 0.000 Te
0.000 0.352 0.352 C
0.000 0.648 0.648 C
```

[8]
A geometry-optimized Er4Te3C structure, computed with PBE.

Output
Its space-group type is Pmn2_1. The calculated volume is 238 Å³/f.u. As for the formation energy without anion corrections: -0.8831 eV/atom. The excess energy over the best structure of this formula in the dataset comes out at 166 meV per atom.

```
Er4Te3C
1.0
10.240 0.000 0.000
0.000 7.869 0.000
0.000 0.000 5.897
Er Te C
8 6 2
Direct
0.000 0.135 0.000 Er
0.000 0.854 0.470 Er
0.205 0.238 0.459 Er
0.295 0.762 0.959 Er
0.500 0.146 0.970 Er
0.500 0.865 0.500 Er
0.705 0.762 0.959 Er
0.795 0.238 0.459 Er
0.000 0.750 0.968 Te
0.240 0.349 0.959 Te
0.260 0.651 0.459 Te
0.500 0.250 0.468 Te
0.740 0.651 0.459 Te
0.760 0.349 0.959 Te
0.000 0.137 0.394 C
0.500 0.863 0.894 C
```

[9]
A geometry-optimized Er7Te2C2 structure, computed with PBE.

Output
Its space-group type is C2/m. The calculated volume is 325 Å³/f.u. As for the formation energy without anion corrections: -0.3701 eV/atom.

```
Er7Te2C2
1.0
3.825 -5.655 0.000
3.825 5.655 0.000
-1.123 0.000 7.521
Er Te C
7 2 2
Direct
0.000 0.000 0.000 Er
0.070 0.459 0.794 Er
0.413 0.413 0.184 Er
0.459 0.070 0.794 Er
0.541 0.930 0.206 Er
0.587 0.587 0.816 Er
0.930 0.541 0.206 Er
0.316 0.684 0.500 Te
0.684 0.316 0.500 Te
0.285 0.285 0.880 C
0.715 0.715 0.120 C
```

[10]
A geometry-optimized Er8TeC4 structure, computed with PBE.

Output
Its space-group type is C2/m. The calculated volume is 275 Å³/f.u. As for the formation energy without anion corrections: -0.4014 eV/atom.

```
Er8TeC4
1.0
8.554 -1.838 0.000
8.554 1.838 0.000
-7.995 0.000 8.738
Er Te C
8 1 4
Direct
0.044 0.044 0.223 Er
0.304 0.304 0.443 Er
0.341 0.341 0.165 Er
0.362 0.362 0.907 Er
0.638 0.638 0.093 Er
0.659 0.659 0.835 Er
0.696 0.696 0.557 Er
0.956 0.956 0.777 Er
0.000 0.000 0.500 Te
0.149 0.149 0.959 C
0.327 0.327 0.668 C
0.673 0.673 0.332 C
0.851 0.851 0.041 C
```

[11]
A geometry-optimized Er4Te5C structure, computed with PBE.

Output
Its space-group type is C2/m. The calculated volume is 290 Å³/f.u. As for the formation energy without anion corrections: -0.9101 eV/atom.

```
Er4Te5C
1.0
8.874 -1.965 0.000
8.874 1.965 0.000
-0.939 0.000 8.323
Er Te C
4 5 1
Direct
0.012 0.012 0.301 Er
0.356 0.356 0.426 Er
0.644 0.644 0.574 Er
0.988 0.988 0.699 Er
0.151 0.151 0.853 Te
0.180 0.180 0.318 Te
0.500 0.500 0.000 Te
0.820 0.820 0.682 Te
0.849 0.849 0.147 Te
0.500 0.500 0.500 C
```

[12]
A geometry-optimized Er4Te3C structure, computed with PBE.

Output
Its space-group type is Cmmm. The calculated volume is 204 Å³/f.u. As for the formation energy without anion corrections: -1.0495 eV/atom. The excess energy over the best structure of this formula in the dataset comes out at 0 meV per atom.

```
Er4Te3C
1.0
4.249 -5.967 0.000
4.249 5.967 0.000
0.000 0.000 4.031
Er Te C
4 3 1
Direct
0.198 0.198 0.500 Er
0.206 0.794 0.000 Er
0.794 0.206 0.000 Er
0.802 0.802 0.500 Er
0.000 0.500 0.500 Te
0.500 0.000 0.500 Te
0.500 0.500 0.000 Te
0.000 0.000 0.000 C
```

no.,magnetic moment (μB per formula unit)
1,0.90
2,0.00
3,0.00
4,0.00
5,0.00
6,0.00
7,0.00
8,0.00
9,0.00
10,0.00
11,0.00
12,0.00